Here is crystalline KMnAg2 at its relaxed geometry from Alexandria via LeMat-Bulk. Energies are from PBE.

Computed properties:
The electronic total energy is -3.40 eV per atom. Its space group is No. 119. The formation energy is 588 meV/atom. The energy above the lowest structure with this stoichiometry is 0.285 eV/atom.

POSCAR file:
```
KMnAg2
1.0
5.636 -0.001 0.000
2.249 5.168 0.000
-3.943 -2.583 3.090
K Ag Mn
1 2 1
Cartesian
3.943 2.583 0.000
0.000 0.000 0.000
1.125 2.584 1.545
2.818 -0.001 1.545
```

***

Here is crystalline K2MnAg2 at its relaxed geometry from Alexandria via LeMat-Bulk. Energies are from PBE.

Computed properties:
The electronic total energy is -2.77 eV per atom. Its space group is No. 127. The formation energy is 645 meV/atom. The energy above the lowest structure with this stoichiometry is 0.102 eV/atom.

POSCAR file:
```
K2MnAg2
1.0
10.008 0.000 0.000
0.000 10.008 0.000
0.000 0.000 3.031
Ag K Mn
4 4 2
Cartesian
1.012 6.016 1.515
3.991 1.012 1.515
6.016 8.995 1.515
8.995 3.991 1.515
8.106 6.906 0.000
3.102 8.106 0.000
1.902 3.102 0.000
6.906 1.902 0.000
5.004 5.004 0.000
0.000 0.000 0.000
```

***

Here is crystalline K2MnAg at its relaxed geometry from Alexandria via LeMat-Bulk. Energies are from PBE.

Computed properties:
The electronic total energy is -2.88 eV per atom. Its space group is No. 225. The formation energy is 676 meV/atom. The energy above the lowest structure with this stoichiometry is 0.254 eV/atom.

POSCAR file:
```
K2MnAg
1.0
0.000 4.145 4.145
4.145 0.000 4.145
4.145 4.145 0.000
Mn K Ag
1 2 1
Cartesian
0.000 0.000 0.000
6.217 6.217 6.217
2.072 2.072 2.072
4.145 4.145 4.145
```

***

Here is crystalline KMnAg2 at its relaxed geometry from Alexandria via LeMat-Bulk. Energies are from PBE.

Computed properties:
The electronic total energy is -3.45 eV per atom. Its space group is No. 71. The formation energy is 539 meV/atom. The energy above the lowest structure with this stoichiometry is 0.236 eV/atom.

POSCAR file:
```
KMnAg2
1.0
6.260 0.031 0.025
2.843 5.577 -0.025
-3.616 -4.322 2.726
Ag K Mn
2 1 1
Cartesian
4.179 2.575 0.000
0.372 0.229 0.000
3.598 -0.744 1.375
1.889 2.029 1.350
```